# TiNiMoO6 GGA+U relaxed
# calculated density = 5.00 Mg/m³
# E_tot = -129.2 eV/cell
data_TiNiMoO6
_chemical_formula_sum 'Ti2 Ni2 Mo2 O12'
_cell_length_a 4.710
_cell_length_b 4.710
_cell_length_c 8.944
_cell_angle_alpha 90.00
_cell_angle_beta 90.00
_cell_angle_gamma 90.00
_space_group_name_H-M_alt 'P 42 n m'
_space_group_IT_number 102
loop_
_space_group_symop_operation_xyz
'x,y,z'
'-y+1/2,x+1/2,z+1/2'
'-x,-y,z'
'y+1/2,-x+1/2,z+1/2'
'-x+1/2,y+1/2,z+1/2'
'y,x,z'
'x+1/2,-y+1/2,z+1/2'
'-y,-x,z'
loop_
_atom_site_label
_atom_site_type_symbol
_atom_site_fract_x
_atom_site_fract_y
_atom_site_fract_z
Ti1 Ti 0.000 0.000 0.000
Ni1 Ni 0.000 0.000 0.328
Mo1 Mo 0.000 0.000 0.661
O1 O 0.189 0.189 0.826
O2 O 0.202 0.202 0.507
O3 O 0.205 0.205 0.153